Here is a relaxed structure of Ca6InPb5 from Alexandria. Energies are from GGA-PBE.

Values from the calculation:
Uncorrected energy, eV per atom: -3.28
E_form, eV/atom: -0.510
Crystal system: orthorhombic

Geometry as extended XYZ:
```
12
Lattice="2.8146 -8.5210 0.0000 2.8146 8.5210 0.0000 0.0000 0.0000 7.5734" Properties=species:S:1:pos:R:3 pbc="T T T"
Ca 0.0000 0.0000 1.8623
Ca 0.0000 0.0000 5.7111
Ca 2.8146 2.8369 1.9079
Ca 2.8146 2.8369 5.6656
Ca 2.8146 -2.8369 1.9079
Ca 2.8146 -2.8369 5.6656
In 2.8146 0.0000 3.7867
Pb 2.8146 5.7609 3.7867
Pb 2.8146 5.6601 0.0000
Pb 2.8146 0.0000 0.0000
Pb 2.8146 -5.6601 0.0000
Pb 2.8146 -5.7609 3.7867
```

---

Here is a relaxed structure of RbYMg2Br8 from Alexandria. Energies are from GGA-PBE.

Values from the calculation:
Uncorrected energy, eV per atom: -3.60
Formation energy from raw total energies, eV per atom: -1.598
Crystal system: triclinic

Geometry as extended XYZ:
```
12
Lattice="6.9452 0.0000 0.0000 1.6697 6.7790 0.0000 2.0949 1.8368 9.2237" Properties=species:S:1:pos:R:3 pbc="T T T"
Rb 0.0000 0.0000 0.0000
Y 1.0474 0.9184 4.6118
Mg 4.3504 3.4292 1.9609
Mg 6.3593 5.1866 7.2628
Br 4.0172 6.2475 6.6854
Br 3.6420 5.8804 2.6500
Br 3.3098 2.4956 4.2063
Br 3.0372 2.1552 0.1796
Br 7.6726 6.4606 9.0441
Br 7.4000 6.1202 5.0174
Br 7.0678 2.7355 6.5736
Br 6.6926 2.3683 2.5383
```

---

Here is a relaxed structure of Tl3Sn7Hg2 from Alexandria. Energies are from GGA-PBE.

Values from the calculation:
Uncorrected energy, eV per atom: -2.93
E_form, eV/atom: 0.048
Crystal system: monoclinic

Geometry as extended XYZ:
```
12
Lattice="6.0401 0.0000 0.0000 0.0000 3.2644 0.0000 -1.8383 0.0000 17.3752" Properties=species:S:1:pos:R:3 pbc="T T T"
Tl 0.0000 0.0000 0.0000
Tl 0.6230 1.6322 5.9755
Tl 3.5788 1.6322 11.3996
Sn -0.5729 1.6322 14.5770
Sn 0.5842 0.0000 9.0514
Sn 1.7417 0.0000 2.8447
Sn 3.0201 1.6322 0.0000
Sn 2.4601 0.0000 14.5305
Sn 3.6176 0.0000 8.3238
Sn 4.7747 1.6322 2.7981
Hg 0.5600 0.0000 11.9927
Hg 3.6418 0.0000 5.3824
```

---

Here is a relaxed structure of PtW2Se from Alexandria. Energies are from GGA-PBE.

Values from the calculation:
Uncorrected energy, eV per atom: -8.32
Formation energy from raw total energies, eV per atom: 0.537
Crystal system: orthorhombic

Geometry as extended XYZ:
```
4
Lattice="3.1228 0.0000 0.0000 0.0000 4.5057 0.0000 0.0000 0.0000 4.6884" Properties=species:S:1:pos:R:3 pbc="T T T"
Pt 0.0000 0.0000 0.0000
W 0.0000 2.2528 2.3442
W 1.5614 0.0000 2.3442
Se 1.5614 2.2528 0.0000
```

---

Here is a relaxed structure of TbPm2Ho3Sb6 from Alexandria. Energies are from GGA-PBE.

Values from the calculation:
Uncorrected energy, eV per atom: -5.52
Formation energy from raw total energies, eV per atom: -1.142
Crystal system: monoclinic

Geometry as extended XYZ:
```
12
Lattice="9.6195 -2.2084 0.0000 9.6195 2.2084 0.0000 -2.0140 0.0000 8.5949" Properties=species:S:1:pos:R:3 pbc="T T T"
Tb 0.0000 0.0000 0.0000
Pm 5.0807 0.0000 5.7337
Pm 12.1444 0.0000 2.8612
Ho -1.0070 0.0000 4.2974
Ho 6.0635 0.0000 1.4283
Ho 11.1616 0.0000 7.1666
Sb 1.9898 0.0000 5.0538
Sb 3.0523 0.0000 0.6687
Sb 9.0702 0.0000 2.1512
Sb 8.1548 0.0000 6.4437
Sb 14.1727 0.0000 7.9261
Sb 15.2353 0.0000 3.5410
```

---

Here is a relaxed structure of BeIr2Ru from Alexandria. Energies are from GGA-PBE.

Values from the calculation:
Uncorrected energy, eV per atom: -7.96
E_form, eV/atom: -0.282
Crystal system: tetragonal

Geometry as extended XYZ:
```
4
Lattice="2.7567 0.0000 0.0000 0.0000 2.7567 0.0000 0.0000 0.0000 6.6515" Properties=species:S:1:pos:R:3 pbc="T T T"
Be 0.0000 0.0000 0.0000
Ir 1.3784 1.3784 1.4385
Ir 1.3784 1.3784 5.2131
Ru 0.0000 0.0000 3.3258
```

---

Here is a relaxed structure of CdCoW from Alexandria. Energies are from GGA-PBE.

Values from the calculation:
Uncorrected energy, eV per atom: -5.69
E_form, eV/atom: 1.302
Crystal system: cubic

Geometry as extended XYZ:
```
3
Lattice="0.0000 3.0340 3.0340 3.0340 0.0000 3.0340 3.0340 3.0340 0.0000" Properties=species:S:1:pos:R:3 pbc="T T T"
Cd 0.0000 0.0000 0.0000
Co 3.0340 3.0340 3.0340
W 1.5170 1.5170 1.5170
```

---

Here is a relaxed structure of BaNaIn2Pd from Alexandria. Energies are from GGA-PBE.

Values from the calculation:
Uncorrected energy, eV per atom: -3.11
E_form, eV/atom: -0.328
Crystal system: tetragonal

Geometry as extended XYZ:
```
5
Lattice="5.2622 0.0000 0.0000 0.0000 5.2622 0.0000 0.0000 0.0000 5.4638" Properties=species:S:1:pos:R:3 pbc="T T T"
Ba 0.0000 0.0000 0.0000
Na 2.6311 2.6311 0.0000
In 0.0000 2.6311 2.7319
In 2.6311 0.0000 2.7319
Pd 2.6311 2.6311 2.7319
```